[1]
Sc2SeF2 (GGA-PBE, optimized geometry); crystal system = tetragonal; symmetry = No. 139; formation energy from raw total energies = -12.69 eV per formula unit
1.0
3.6404 0.0000 0.0000
0.0000 3.6404 0.0000
1.8202 1.8202 5.6448
Sc Se F
2 1 2
direct
0.3707 0.3707 0.2587
0.6293 0.6293 0.7413
0.0000 0.0000 0.0000
0.7500 0.2500 0.5000
0.2500 0.7500 0.5000

---

[2]
NaAs2WBr (GGA-PBE, optimized geometry); crystal system = tetragonal; symmetry = No. 123; formation energy from raw total energies = 8.15 eV per formula unit
1.0
-2.1686 -3.6605 2.5815
3.1249 -3.2912 -2.0419
3.2318 0.7364 3.7590
Na As Br W
1 2 1 1
direct
0.0000 0.0000 0.0000
0.0000 0.5000 0.0000
0.5000 0.0000 0.0000
0.0000 0.0000 0.5000
0.5000 0.5000 0.5000

---

[3]
TiCo2Pd (GGA-PBE, optimized geometry); crystal system = tetragonal; ΔH_f (0 K) = 0.70 eV per formula unit; symmetry = No. 122
1.0
3.6248 0.0000 0.0000
0.0000 3.6248 0.0000
1.8124 1.8124 8.6995
Co Pd Ti
4 2 2
direct
0.6073 0.1250 0.2500
0.1427 0.6250 0.2500
0.3750 0.3927 0.7500
0.8750 0.8573 0.7500
0.0000 0.0000 0.0000
0.7500 0.2500 0.5000
0.5000 0.5000 0.0000
0.2500 0.7500 0.5000

---

[4]
Cs3Ag2BiBr8 (GGA-PBE, optimized geometry); crystal system = trigonal; symmetry = No. 164; formation energy from raw total energies = -15.00 eV per formula unit
1.0
8.0126 0.0000 0.0000
-4.0063 6.9392 0.0000
0.0000 0.0000 10.5806
Cs Ag Bi Br
3 2 1 8
direct
0.3333 0.6667 0.6288
0.6667 0.3333 0.3712
0.0000 0.0000 0.0000
0.3333 0.6667 0.1919
0.6667 0.3333 0.8081
0.0000 0.0000 0.5000
0.3333 0.6667 0.9536
0.6667 0.3333 0.0464
0.1659 0.8341 0.3364
0.8341 0.1659 0.6636
0.1659 0.3318 0.3364
0.8341 0.6682 0.6636
0.6682 0.8341 0.3364
0.3318 0.1659 0.6636

---

[5]
Pm2HoPu (GGA-PBE, optimized geometry); crystal system = trigonal; ΔH_f (0 K) = 0.47 eV per formula unit; symmetry = No. 160
1.0
3.5867 0.0000 0.0000
1.7934 3.1062 0.0000
1.7934 1.0354 11.5082
Pm Ho Pu
2 1 1
direct
0.0825 0.0825 0.7525
0.2507 0.2507 0.2478
0.5001 0.5001 0.4996
0.6666 0.6666 0.0001

---

[6]
Na3SnBi2Pb3 (GGA-PBE, optimized geometry); crystal system = hexagonal; ΔH_f (0 K) = -1.40 eV per formula unit; symmetry = No. 189
1.0
3.5104 0.0000 0.0000
0.0000 9.5020 0.0000
0.0000 -4.7510 8.2290
Na Sn Bi Pb
3 1 2 3
direct
0.0000 0.6303 0.6303
0.0000 0.0000 0.3697
0.0000 0.3697 0.0000
0.0000 0.0000 0.0000
0.5000 0.6667 0.3333
0.5000 0.3333 0.6667
0.5000 0.7024 0.0000
0.5000 0.0000 0.7024
0.5000 0.2976 0.2976

---

[7]
LiSb2 (GGA-PBE, optimized geometry); crystal system = orthorhombic; symmetry = No. 47; formation energy from raw total energies = -0.66 eV per formula unit
1.0
3.2029 0.0000 0.0000
0.0000 4.2331 0.0000
0.0000 0.0000 10.9190
Li Sb
2 4
direct
0.5000 0.0000 0.8572
0.5000 0.0000 0.1428
0.0000 0.5000 0.2918
0.0000 0.5000 0.7082
0.0000 0.5000 0.0000
0.0000 0.0000 0.5000

---

[8]
CaSi2SbRu (GGA-PBE, optimized geometry); crystal system = tetragonal; symmetry = No. 123; formation energy from raw total energies = 9.37 eV per formula unit
1.0
-2.6811 3.8957 -1.8893
-2.7609 -3.4849 -3.2680
-3.5005 -0.6425 3.6425
Sb Ca Si Ru
1 1 2 1
direct
0.0000 0.5000 0.0000
0.0000 0.0000 0.0000
0.0000 0.0000 0.5000
0.5000 0.0000 0.0000
0.5000 0.5000 0.5000